Here is a relaxed Ac6CoI3N2 crystal from Alexandria via LeMat-Bulk. Energies are from PBE.

a = 7.226 Å, b = 7.226 Å, c = 8.736 Å
α = 97.09°, β = 97.09°, γ = 122.56°
Sites, in units of the cell vectors:
Ac (0.085, 0.429, 0.177)
Co (0.000, 0.000, 0.000)
I (0.500, 0.500, 0.500)
N (0.344, 0.656, 0.000)
Ac (0.729, 0.729, 0.176)
Ac (0.915, 0.571, 0.823)
I (0.838, 0.162, 0.500)
N (0.656, 0.344, 0.000)
Ac (0.571, 0.915, 0.823)
Ac (0.429, 0.085, 0.177)
Ac (0.271, 0.271, 0.824)
I (0.162, 0.838, 0.500)

Calculated values
For the density of states at the Fermi level, the calculation gives 0.672 states/eV per atom. Its symmetry is No. 12. For the total magnetization, the calculation gives 0.0 Bohr magnetons per cell. The value obtained for the formation energy from raw total energies is -20.13 kcal/mol of atoms. Its volume is 31.0 Å³ per atom.

Here is a relaxed Ac8Co3I4N crystal from Alexandria via LeMat-Bulk. Energies are from PBE.

a = 8.399 Å, b = 9.878 Å, c = 8.423 Å
α = 115.26°, β = 119.91°, γ = 90.00°
Sites, in units of the cell vectors:
I (0.000, 0.000, 0.500)
Ac (0.272, 0.319, 0.545)
Ac (0.779, 0.323, 0.559)
Ac (0.221, 0.677, 0.441)
Co (0.500, 0.500, 0.000)
I (0.000, 0.000, 0.000)
Ac (0.219, 0.677, 0.959)
Co (0.500, 0.500, 0.500)
Ac (0.728, 0.681, 0.455)
N (0.000, 0.500, 0.000)
I (0.500, 0.000, 0.000)
I (0.500, 0.000, 0.500)
Ac (0.740, 0.677, 0.959)
Ac (0.781, 0.323, 0.041)
Co (0.000, 0.500, 0.500)
Ac (0.260, 0.323, 0.041)

Calculated values
For the density of states at the Fermi level, the calculation gives 0.421 states/eV per atom. Its symmetry is No. 12. For the total magnetization, the calculation gives 0.0 Bohr magnetons per cell. The value obtained for the formation energy from raw total energies is -16.56 kcal/mol of atoms. Its volume is 33.0 Å³ per atom.